Record 1
PBE CoHgS2N, relaxed; energy relative to the elements, uncorrected = 2.50 eV per formula unit; excess energy over the best structure of this formula in the dataset = 0 meV per atom; density = 7.04 Mg/m³
1.0
4.8420 0.0000 0.0000
0.0000 4.8420 0.0000
0.0000 0.0000 3.3981
Co Hg S N
1 1 2 1
Direct
0.0000 0.0000 0.0000
0.5000 0.5000 0.5000
0.0000 0.5000 0.0000
0.5000 0.0000 0.0000
0.0000 0.0000 0.5000


Record 2
PBE Y2CoHgN, relaxed; energy relative to the elements, uncorrected = -3.63 eV per formula unit; density = 8.08 Mg/m³
1.0
4.9892 0.0000 0.0000
0.0000 4.9892 0.0000
0.0000 0.0000 3.7285
Y Co Hg N
2 1 1 1
Direct
0.0000 0.5000 0.0000
0.5000 0.0000 0.0000
0.0000 0.0000 0.5000
0.5000 0.5000 0.5000
0.0000 0.0000 0.0000